The following is a DFT calculation (GGA-PBE) of a geometry-optimized Be2AgCl structure.

a b c (Å): 2.952 3.399 5.991
angles (deg): 89.99 90.00 90.00
Positions (direct):
1 Ag 0.500 0.750 0.750
2 Be 0.000 0.250 0.938
3 Cl 0.500 0.250 0.250
4 Be 0.000 0.250 0.562

The value obtained for the total energy is -2.877 eV/atom. Its density of states at the Fermi level is 0.252 states/eV per atom. Its formation energy without anion corrections is 0.64 eV/f.u.